Entry 1:
A plane-wave DFT calculation with PBE-GGA was carried out for a relaxed Nd4Ni3Ag crystal.

It has space group Pmm2 (No. 25), with a = 3.863 Å, b = 4.562 Å, c = 10.601 Å, α = 90.00°, β = 90.00° and γ = 90.00°. The inequivalent atoms are Nd at (0.000, 0.000, 0.000), Nd at (0.000, 0.500, 0.262), Nd at (0.500, 0.000, 0.470), Nd at (0.500, 0.500, 0.769), Ni at (0.000, 0.500, 0.545), Ni at (0.500, 0.000, 0.198), Ni at (0.500, 0.500, 0.056) and Ag at (0.000, 0.000, 0.696).

Its density of states at the Fermi level is 6.34 states/eV per cell. The value obtained for the total moment is 0.00 μB/cell. The formation energy is -0.2743 eV/atom.



Entry 2:
A plane-wave DFT calculation with PBE-GGA was carried out for a relaxed DyTlRhAu crystal.

It has space group F-43m (No. 216), with a = 6.895 Å, b = 6.895 Å, c = 6.895 Å, α = 90.00°, β = 90.00° and γ = 90.00°. The inequivalent atoms are Dy at (0.000, 0.000, 0.000), Tl at (0.000, 0.000, 0.500), Rh at (0.250, 0.250, 0.250) and Au at (0.250, 0.250, 0.750).

Its density of states at the Fermi level is 14.69 states/eV per cell. The value obtained for the total moment is 0.00 μB/cell. The formation energy is -0.4318 eV/atom.



Entry 3:
A plane-wave DFT calculation with PBE-GGA was carried out for a relaxed PrBiIr crystal.

It has space group Immm (No. 71), with a = 4.272 Å, b = 5.031 Å, c = 15.819 Å, α = 90.00°, β = 90.00° and γ = 90.00°. The inequivalent atoms are Pr at (0.000, 0.000, 0.167), Bi at (0.000, 0.000, 0.386) and Ir at (0.000, 0.254, 0.000).

Its density of states at the Fermi level is 14.71 states/eV per cell. The value obtained for the total moment is 0.00 μB/cell. The formation energy is -0.0919 eV/atom.



Q: Number 3 is which compound?
A: PrBiIr



What did the third record say?
A plane-wave DFT calculation with PBE-GGA was carried out for a relaxed PrBiIr crystal.

It has space group Immm (No. 71), with a = 4.272 Å, b = 5.031 Å, c = 15.819 Å, α = 90.00°, β = 90.00° and γ = 90.00°. The inequivalent atoms are Pr at (0.000, 0.000, 0.167), Bi at (0.000, 0.000, 0.386) and Ir at (0.000, 0.254, 0.000).

Its density of states at the Fermi level is 14.71 states/eV per cell. The value obtained for the total moment is 0.00 μB/cell. The formation energy is -0.0919 eV/atom.



Q: Which value of total moment does entry 2 give?
A: 0.00 μB/cell